(1)
# Sm4DyY3

A geometry-optimized Sm4DyY3 structure (PBE, the Alexandria database).

Structure (POSCAR):
```
Sm4DyY3
1.0
11.811 -1.745 0.000
11.811 1.745 0.000
-1.929 0.000 6.513
Sm Dy Y
4 1 3
Direct
0.124 0.124 0.369
0.260 0.260 0.761
0.740 0.740 0.239
0.876 0.876 0.631
0.500 0.500 0.000
0.000 0.000 0.500
0.124 0.124 0.882
0.876 0.876 0.118
```

Results
- ΔH_f (0 K): 0.17 eV/atom
- Offset from the most stable computed form: 116 kJ/mol of formula units
- DOS(E_F): 14.6 states/eV/f.u.

(2)
# Y2MgIr2

A geometry-optimized Y2MgIr2 structure (PBE, the Alexandria database).

Structure (POSCAR):
```
Y2MgIr2
1.0
8.205 0.000 0.000
0.000 8.205 0.000
0.000 0.000 3.216
Y Mg Ir
4 2 4
Direct
0.142 0.358 0.000
0.358 0.858 0.000
0.642 0.142 0.000
0.858 0.642 0.000
0.000 0.000 0.000
0.500 0.500 0.000
0.156 0.656 0.500
0.344 0.156 0.500
0.656 0.844 0.500
0.844 0.344 0.500
```

Results
- ΔH_f (0 K): -0.38 eV/atom
- DOS(E_F): 2.3 states/eV/f.u.

(3)
# NaLi2TeS

A geometry-optimized NaLi2TeS structure (PBE, the Alexandria database).

Structure (POSCAR):
```
NaLi2TeS
1.0
4.673 0.000 0.000
0.000 4.673 0.000
0.000 0.000 5.414
Na Li Te S
1 2 1 1
Direct
0.000 0.000 0.000
0.000 0.500 0.500
0.500 0.000 0.500
0.500 0.500 0.000
0.000 0.000 0.500
```

Results
- DOS(E_F): 3.6 states/eV/f.u.
- E_form (uncorrected): -0.82 eV/atom

(4)
# La2YMgBi

A geometry-optimized La2YMgBi structure (PBE, the Alexandria database).

Structure (POSCAR):
```
La2YMgBi
1.0
5.841 0.000 0.000
0.000 5.841 0.000
0.000 0.000 5.428
La Y Mg Bi
2 1 1 1
Direct
0.000 0.500 0.000
0.500 0.000 0.000
0.000 0.000 0.500
0.500 0.500 0.000
0.500 0.500 0.500
```

Results
- ΔH_f (0 K): 0.39 eV/atom
- DOS(E_F): 8.1 states/eV/f.u.

DFT total energy list, top to bottom, in eV/atom: -5.191 -6.833 -3.304 -3.965